Record 1
DFT (PBE-GGA) results for a geometry-optimized TcIrPd structure.

Cell lengths 2.743, 2.743, 6.805 Å; angles 90.00, 90.00, 120.00 degrees
Atoms (fractional coordinates):
Tc (0.667, 0.333, 0.343)
Ir (0.333, 0.667, 0.654)
Pd (0.000, 0.000, 0.004)

Formation enthalpy at 0 K (eV/atom): -0.04

---

Record 2
DFT (PBE-GGA) results for a geometry-optimized NdHo5S6 structure.

Cell lengths 6.773, 6.784, 6.792 Å; angles 60.04, 80.34, 70.36 degrees
Atoms (fractional coordinates):
Ho (0.500, 0.162, 0.677)
Ho (0.500, 0.500, 0.000)
Ho (0.500, 0.838, 0.323)
Ho (0.000, 0.665, 0.669)
Ho (0.000, 0.335, 0.331)
S (0.257, 0.915, 0.656)
S (0.743, 0.085, 0.344)
S (0.743, 0.429, 0.656)
S (0.257, 0.571, 0.344)
S (0.253, 0.259, 0.000)
S (0.747, 0.741, 0.000)
Nd (0.000, 0.000, 0.000)

E_form (uncorrected) (eV per atom): -1.98

---

Record 3
DFT (PBE-GGA) results for a geometry-optimized TaGa2Ru2 structure.

Cell lengths 4.130, 4.130, 5.585 Å; angles 68.30, 68.30, 90.00 degrees
Atoms (fractional coordinates):
Ga (0.380, 0.380, 0.240)
Ga (0.620, 0.620, 0.760)
Ru (0.750, 0.250, 0.500)
Ru (0.250, 0.750, 0.500)
Ta (0.000, 0.000, 0.000)

Formation enthalpy at 0 K (eV/atom): 0.20